Density functional theory data (PBE) for crystalline TcNiP at its relaxed geometry.

Computed properties:
- ρ: 7.81 g cm⁻³
- Total moment: 0.000 μB/atom
- Energy: -90.8 eV per cell

Lattice parameters (Å, degrees): 5.4233 5.4233 5.4233 90.00 90.00 90.00
Space group F-43m (No. 216)
Inequivalent atoms, fractional coordinates:
Tc1 0.0000 0.0000 0.0000 [4 per cell]
Ni1 0.0000 0.0000 0.5000 [4 per cell]
P1 0.2500 0.2500 0.7500 [4 per cell]


Density functional theory data (PBE) for crystalline TmMgCd2 at its relaxed geometry.

Computed properties:
- ρ: 7.58 g cm⁻³
- Total moment: 0.000 μB/atom
- Energy: -35.5 eV per cell

Lattice parameters (Å, degrees): 7.1957 10.4561 4.8673 90.00 90.00 90.00
Space group Cmcm (No. 63)
Inequivalent atoms, fractional coordinates:
Tm1 0.0000 0.1269 0.2500 [4 per cell]
Mg1 0.0000 0.3379 0.7500 [4 per cell]
Cd1 0.2179 0.3952 0.2500 [8 per cell]


Density functional theory data (PBE) for crystalline La2IrOsN2O2 at its relaxed geometry.

Computed properties:
- ρ: 9.74 g cm⁻³
- Total moment: 0.000 μB/atom
- Energy: -66.2 eV per cell

Lattice parameters (Å, degrees): 3.8977 3.8977 8.0812 90.00 90.00 90.00
Space group P-4m2 (No. 115)
Inequivalent atoms, fractional coordinates:
La1 0.0000 0.5000 0.1595 [2 per cell]
Ir1 0.0000 0.0000 0.5000 [1 per cell]
Os1 0.5000 0.5000 0.5000 [1 per cell]
N1 0.0000 0.5000 0.6100 [2 per cell]
O1 0.0000 0.0000 0.0000 [1 per cell]
O2 0.5000 0.5000 0.0000 [1 per cell]


Density functional theory data (PBE) for crystalline NaAcTm at its relaxed geometry.

Computed properties:
- ρ: 5.80 g cm⁻³
- Total moment: 0.004 μB/atom
- Energy: -31.0 eV per cell
- ΔE to the lowest computed polymorph: 0.000 eV per atom

Lattice parameters (Å, degrees): 7.8298 7.8298 7.8298 90.00 90.00 90.00
Space group F-43m (No. 216)
Inequivalent atoms, fractional coordinates:
Na1 0.0000 0.0000 0.0000 [4 per cell]
Ac1 0.2500 0.2500 0.7500 [4 per cell]
Tm1 0.2500 0.2500 0.2500 [4 per cell]


Density functional theory data (PBE) for crystalline TmZnGa at its relaxed geometry.

Computed properties:
- ρ: 8.56 g cm⁻³
- Total moment: 0.000 μB/atom
- Energy: -19.8 eV per cell

Lattice parameters (Å, degrees): 4.8281 4.8281 5.8464 90.00 90.00 120.00
Space group P6_3/mmc (No. 194)
Inequivalent atoms, fractional coordinates:
Tm1 0.3333 0.6667 0.2500 [2 per cell]
Zn1 0.0000 0.0000 0.0000 [2 per cell]
Ga1 0.3333 0.6667 0.7500 [2 per cell]


Density functional theory data (PBE) for crystalline Zr3CdH at its relaxed geometry.

Computed properties:
- ρ: 7.18 g cm⁻³
- Total moment: 0.001 μB/atom
- Energy: -31.1 eV per cell

Lattice parameters (Å, degrees): 4.4738 4.4738 4.4738 90.00 90.00 90.00
Space group Pm-3m (No. 221)
Inequivalent atoms, fractional coordinates:
Zr1 0.0000 0.0000 0.5000 [3 per cell]
Cd1 0.5000 0.5000 0.5000 [1 per cell]
H1 0.0000 0.0000 0.0000 [1 per cell]